Entry 1:
Computed, not measured: a relaxed structure of ThGa3Fe at the PBE level of DFT.

The structure belongs to space group Pm-3m (No. 221); the cell edges are 4.587, 4.587 and 4.587 Å and the angles 90.00°, 90.00° and 90.00°. Symmetry generates all atoms from Th at (0.000, 0.000, 0.000), Ga at (0.000, 0.500, 0.500) and Fe at (0.500, 0.500, 0.500).

Its energy above the most stable polymorph in this dataset is 142 meV per atom.

***

Entry 2:
Computed, not measured: a relaxed structure of PrAlPt at the PBE level of DFT.

The structure belongs to space group Pnma (No. 62); the cell edges are 7.233, 4.524 and 7.872 Å and the angles 90.00°, 90.00° and 90.00°. Symmetry generates all atoms from Pr at (0.030, 0.250, 0.182), Al at (0.146, 0.250, 0.568) and Pt at (0.214, 0.750, 0.389).

For the total energy, the calculation gives -70.7 eV/cell.

***

Entry 3:
Computed, not measured: a relaxed structure of ZrCoOs2 at the PBE level of DFT.

The structure belongs to space group Cm (No. 8); the cell edges are 9.183, 2.886 and 4.747 Å and the angles 90.00°, 102.26° and 90.00°. Symmetry generates all atoms from Zr at (0.000, 0.000, 0.000), Co at (0.242, 0.000, 0.759), Os at (0.005, 0.500, 0.498) and Os at (0.263, 0.500, 0.333).

Its energy above the most stable polymorph in this dataset is 81 meV per atom.

***

Entry 4:
Computed, not measured: a relaxed structure of ZrNp4Ga12 at the PBE level of DFT.

The structure belongs to space group Im-3m (No. 229); the cell edges are 8.738, 8.738 and 8.738 Å and the angles 90.00°, 90.00° and 90.00°. Symmetry generates all atoms from Zr at (0.000, 0.000, 0.000), Np at (0.250, 0.250, 0.250), Ga at (0.000, 0.000, 0.306) and Ga at (0.000, 0.250, 0.500).

For the total energy, the calculation gives -199.8 eV/cell.

***

Entry 5:
Computed, not measured: a relaxed structure of Tb2CeHoCo2 at the PBE level of DFT.

The structure belongs to space group Ibam (No. 72); the cell edges are 6.781, 12.773 and 6.612 Å and the angles 90.00°, 90.00° and 90.00°. Symmetry generates all atoms from Tb at (0.195, 0.201, 0.000), Ce at (0.000, 0.000, 0.250), Ho at (0.000, 0.500, 0.250) and Co at (0.212, 0.097, 0.500).

For the total energy, the calculation gives -138.6 eV/cell.

***

Entry 6:
Computed, not measured: a relaxed structure of TbSm2Sb2 at the PBE level of DFT.

The structure belongs to space group Ibam (No. 72); the cell edges are 8.579, 11.802 and 6.327 Å and the angles 90.00°, 90.00° and 90.00°. Symmetry generates all atoms from Tb at (0.000, 0.000, 0.250), Sm at (0.143, 0.349, 0.000) and Sb at (0.218, 0.391, 0.500).

For the total energy, the calculation gives -106.1 eV/cell.

***

Entry 7:
Computed, not measured: a relaxed structure of HfCdTeI2 at the PBE level of DFT.

The structure belongs to space group P4/mmm (No. 123); the cell edges are 5.786, 5.786 and 5.545 Å and the angles 90.00°, 90.00° and 90.00°. Symmetry generates all atoms from Hf at (0.000, 0.000, 0.000), Cd at (0.500, 0.500, 0.500), Te at (0.000, 0.000, 0.500) and I at (0.000, 0.500, 0.000).

Its energy above the most stable polymorph in this dataset is 0 meV per atom.

***

Entry 8:
Computed, not measured: a relaxed structure of HfTiNbMo at the PBE level of DFT.

The structure belongs to space group F-43m (No. 216); the cell edges are 6.604, 6.604 and 6.604 Å and the angles 90.00°, 90.00° and 90.00°. Symmetry generates all atoms from Hf at (0.000, 0.000, 0.000), Ti at (0.250, 0.250, 0.250), Nb at (0.000, 0.000, 0.500) and Mo at (0.250, 0.250, 0.750).

For the total energy, the calculation gives -154.9 eV/cell.